# 1
SmGaIr | PBE | relaxed

Values from the calculation:
- final energy (eV per atom) = -6.25

Lattice parameters (Å, degrees): 3.8761 4.3459 4.3459 120.00 90.00 90.00
Atoms (fractional coordinates):
1 Ir 0.1670 0.0000 0.0000
2 Ga 0.1664 0.6667 0.3333
3 Sm 0.6666 0.3333 0.6667

=====

# 2
Sm8Ga2Ir | PBE | relaxed

Values from the calculation:
- relative energy among the computed polymorphs (eV/f.u.) = 0.00
- final energy (eV per atom) = -5.14

Lattice parameters (Å, degrees): 5.0449 6.7478 9.6698 101.60 105.12 90.00
Atoms (fractional coordinates):
1 Sm 0.4098 0.5514 0.8196
2 Sm 0.6527 0.9743 0.3055
3 Sm 0.7904 0.6856 0.5808
4 Sm 0.9762 0.2186 0.9523
5 Sm 0.2096 0.3144 0.4192
6 Sm 0.3473 0.0257 0.6945
7 Sm 0.5902 0.4486 0.1804
8 Sm 0.0238 0.7814 0.0477
9 Ga 0.8117 0.2487 0.6234
10 Ga 0.1883 0.7513 0.3766
11 Ir 0.5000 0.0000 0.0000

=====

# 3
Sm2Ga5Ir3 | PBE | relaxed

Values from the calculation:
- final energy (eV per atom) = -5.87

Lattice parameters (Å, degrees): 5.7754 8.6340 8.6340 95.86 70.45 70.45
Atoms (fractional coordinates):
1 Sm 0.2714 0.8679 0.5892
2 Sm 0.2286 0.4108 0.1321
3 Sm 0.7286 0.1321 0.4108
4 Sm 0.7714 0.5892 0.8679
5 Ga 0.3254 0.0865 0.2625
6 Ga 0.1746 0.7375 0.9135
7 Ga 0.6746 0.9135 0.7375
8 Ga 0.8254 0.2625 0.0865
9 Ga 0.2500 0.2046 0.7954
10 Ga 0.7500 0.7954 0.2046
11 Ga 0.2500 0.4998 0.5002
12 Ga 0.7500 0.5002 0.4998
13 Ga 0.2500 0.7954 0.2046
14 Ga 0.7500 0.2046 0.7954
15 Ir 0.0928 0.2573 0.5569
16 Ir 0.4072 0.4431 0.7427
17 Ir 0.9072 0.7427 0.4431
18 Ir 0.5928 0.5569 0.2573
19 Ir 0.2500 0.0000 0.0000
20 Ir 0.7500 0.0000 0.0000

=====

# 4
Sm2Ga8Ir | PBE | relaxed

Values from the calculation:
- final energy (eV per atom) = -4.41

Lattice parameters (Å, degrees): 4.3588 4.3588 11.3123 90.00 90.00 90.00
Atoms (fractional coordinates):
1 Sm 0.0000 0.0000 0.3062
2 Sm 0.0000 0.0000 0.6938
3 Ga 0.0000 0.5000 0.5000
4 Ga 0.5000 0.0000 0.5000
5 Ga 0.5000 0.5000 0.3063
6 Ga 0.5000 0.5000 0.6937
7 Ga 0.0000 0.5000 0.1193
8 Ga 0.5000 0.0000 0.1193
9 Ga 0.0000 0.5000 0.8807
10 Ga 0.5000 0.0000 0.8807
11 Ir 0.0000 0.0000 0.0000

=====

# 5
SmGa3Ir | PBE | relaxed

Values from the calculation:
- relative energy among the computed polymorphs (eV/f.u.) = 0.05
- final energy (eV per atom) = -5.06

Lattice parameters (Å, degrees): 4.2656 6.7822 7.0129 90.00 89.99 90.00
Atoms (fractional coordinates):
1 Sm 0.7501 0.7500 0.2954
2 Sm 0.2499 0.2500 0.7046
3 Ga 0.7498 0.9435 0.8448
4 Ga 0.2502 0.0565 0.1552
5 Ga 0.7498 0.5565 0.8448
6 Ga 0.2502 0.4435 0.1552
7 Ga 0.2501 0.7500 0.6036
8 Ga 0.7499 0.2500 0.3964
9 Ir 0.2497 0.7500 0.9588
10 Ir 0.7503 0.2500 0.0412

=====

# 6
Sm5GaIr2 | PBE | relaxed

Values from the calculation:
- final energy (eV per atom) = -6.14

Lattice parameters (Å, degrees): 7.8805 7.8805 8.7432 116.79 116.79 90.00
Atoms (fractional coordinates):
1 Sm 0.5259 0.6993 0.7252
2 Sm 0.8007 0.9741 0.2748
3 Sm 0.0000 0.0000 0.0000
4 Sm 0.5000 0.5000 0.0000
5 Sm 0.1993 0.0259 0.7252
6 Sm 0.6993 0.1993 0.7252
7 Sm 0.0259 0.5259 0.7252
8 Sm 0.3007 0.8007 0.2748
9 Sm 0.9741 0.4741 0.2748
10 Sm 0.4741 0.3007 0.2748
11 Ga 0.7500 0.7500 0.5000
12 Ga 0.2500 0.2500 0.5000
13 Ir 0.1364 0.3636 0.0000
14 Ir 0.6364 0.1364 0.0000
15 Ir 0.3636 0.8636 0.0000
16 Ir 0.8636 0.6364 0.0000

=====

Number 1: calculated volume 63.4 Å³ per cell. Number 2: calculated volume 310.8 Å³ per cell. Number 3: calculated volume 371.1 Å³ per cell. Number 4: calculated volume 214.9 Å³ per cell. Number 5: calculated volume 202.9 Å³ per cell. Number 6: calculated volume 418.4 Å³ per cell.